1.
Here is crystalline NaZnBi2 at its relaxed geometry from Alexandria. Energies are from PBE-GGA.

Cell and atoms, written as CIF:
```
data_NaZnBi2
_cell_length_a 4.849
_cell_length_b 4.849
_cell_length_c 10.934
_cell_angle_alpha 77.19
_cell_angle_beta 77.19
_cell_angle_gamma 90.00
_space_group_name_H-M_alt 'P 1'
_space_group_IT_number 1
loop_
_space_group_symop_operation_xyz
'x,y,z'
loop_
_atom_site_label
_atom_site_fract_x
_atom_site_fract_y
_atom_site_fract_z
Bi1 0.084 0.625 0.250
Bi2 0.875 0.916 0.750
Bi3 0.375 0.334 0.750
Bi4 0.666 0.125 0.250
Na1 0.500 0.500 0.000
Na2 0.250 0.750 0.500
Zn1 0.000 0.000 0.000
Zn2 0.750 0.250 0.500
```

Values from the calculation:
Density   6.89 g/cm3
Formation energy   0.01 eV per atom
Calculated volume   244 Å³/cell
Final energy   -20.65 eV for the cell shown
M_tot   0.000 μB per formula unit



2.
Here is crystalline KMo4Cl at its relaxed geometry from Alexandria. Energies are from PBE-GGA.

Cell and atoms, written as CIF:
```
data_KMo4Cl
_cell_length_a 5.557
_cell_length_b 5.557
_cell_length_c 5.557
_cell_angle_alpha 60.00
_cell_angle_beta 60.00
_cell_angle_gamma 60.00
_space_group_name_H-M_alt 'P 1'
_space_group_IT_number 1
loop_
_space_group_symop_operation_xyz
'x,y,z'
loop_
_atom_site_label
_atom_site_fract_x
_atom_site_fract_y
_atom_site_fract_z
K1 0.000 0.000 0.000
Cl1 0.750 0.750 0.750
Mo1 0.384 0.384 0.849
Mo2 0.384 0.849 0.384
Mo3 0.849 0.384 0.384
Mo4 0.384 0.384 0.384
```

Values from the calculation:
Density   6.27 g/cm3
Calculated volume   121 Å³/cell
E_form (uncorrected)   1289 meV/atom
Final energy   -38.54 eV for the cell shown
M_tot   0.000 μB per formula unit



Q: Look up the final energy of the first one.
A: -20.65 eV for the cell shown